No. 1
DFT (PBE) results for a relaxed structure of BeCoRe2.

Calculated values
As for the symmetry: No. 123. For the total energy, the calculation gives -35.58 eV/cell. For the energy of formation from the pure elements, the calculation gives 0.04 eV/atom.

a = 2.696 Å, b = 2.696 Å, c = 6.620 Å
α = 90.00°, β = 90.00°, γ = 90.00°
Fractional positions:
Be: 0.000 0.000 0.000
Co: 0.000 0.000 0.500
Re: 0.500 0.500 0.233
Re: 0.500 0.500 0.767


No. 2
DFT (PBE) results for a relaxed structure of Rb2MnSb2Se6.

Calculated values
As for the symmetry: No. 12. For the total energy, the calculation gives -46.76 eV/cell.

a = 6.947 Å, b = 6.947 Å, c = 8.549 Å
α = 98.74°, β = 98.74°, γ = 119.06°
Fractional positions:
Rb: 0.177 0.823 0.000
Rb: 0.823 0.177 0.000
Mn: 0.000 0.000 0.500
Sb: 0.331 0.669 0.500
Sb: 0.669 0.331 0.500
Se: 0.069 0.364 0.683
Se: 0.224 0.224 0.320
Se: 0.364 0.069 0.683
Se: 0.636 0.931 0.317
Se: 0.776 0.776 0.680
Se: 0.931 0.636 0.317


No. 3
DFT (PBE) results for a relaxed structure of ZrSc3Bi4.

Calculated values
As for the symmetry: No. 65. For the total energy, the calculation gives -94.97 eV/cell. For the energy of formation from the pure elements, the calculation gives -0.55 eV/atom.

a = 8.527 Å, b = 12.025 Å, c = 4.254 Å
α = 90.00°, β = 90.00°, γ = 90.00°
Fractional positions:
Zr: 0.000 0.000 0.000
Zr: 0.500 0.500 0.000
Sc: 0.000 0.500 0.000
Sc: 0.250 0.250 0.500
Sc: 0.250 0.750 0.500
Sc: 0.500 0.000 0.000
Sc: 0.750 0.250 0.500
Sc: 0.750 0.750 0.500
Bi: 0.000 0.251 0.000
Bi: 0.000 0.749 0.000
Bi: 0.248 0.500 0.500
Bi: 0.252 0.000 0.500
Bi: 0.500 0.249 0.000
Bi: 0.500 0.751 0.000
Bi: 0.748 0.000 0.500
Bi: 0.752 0.500 0.500


no.,D(E_F) (states/eV/atom)
1,0.670
2,0.249
3,0.249